[1]
This record from Alexandria via LeMat-Bulk describes a relaxed structure of AlNi6H3. The functional is PBE-GGA.

a b c (Å): 5.0032 6.1728 6.1728
angles (deg): 113.15 90.00 90.00
Last column: nearest neighbours and their distance in Å.
Fractional coordinates of all 20 atoms:
Al (0.9734, 0.2103, 0.7897)  12 Ni 2.50-2.58
Al (0.4734, 0.7897, 0.2103)  12 Ni 2.50-2.58
Ni (0.2217, 0.8191, 0.5702)  3 H 1.73-1.87
Ni (0.7217, 0.5702, 0.8191)  3 H 1.73-1.87
Ni (0.2256, 0.5702, 0.8193)  3 H 1.72-1.87
Ni (0.7256, 0.8193, 0.5702)  3 H 1.72-1.87
Ni (0.2224, 0.0000, 0.0000)  4 H 2.34-2.35, 8 Ni 2.44-2.50, 2 Al 2.50
Ni (0.4732, 0.2043, 0.7957)  1 H 1.67
Ni (0.9732, 0.7957, 0.2043)  1 H 1.67
Ni (0.7224, 0.0000, 0.0000)  4 H 2.34-2.35, 8 Ni 2.44-2.50, 2 Al 2.50
Ni (0.2256, 0.1807, 0.4298)  3 H 1.72-1.87
Ni (0.7256, 0.4298, 0.1807)  3 H 1.72-1.87
Ni (0.2217, 0.4298, 0.1809)  3 H 1.73-1.87
Ni (0.7217, 0.1809, 0.4298)  3 H 1.73-1.87
H (0.4741, 0.7191, 0.6978)  4 Ni 1.72-1.87
H (0.9741, 0.6978, 0.7191)  4 Ni 1.72-1.87
H (0.4736, 0.3665, 0.6335)  5 Ni 1.67-1.82
H (0.9736, 0.6335, 0.3665)  5 Ni 1.67-1.82
H (0.9741, 0.2809, 0.3022)  4 Ni 1.72-1.87
H (0.4741, 0.3022, 0.2809)  4 Ni 1.72-1.87

Results
**Magnetization**: 0.00 μB/cell
**V**: 175.30 Å³/cell
**Final energy**: -4.97 eV/atom
**Space group**: Cmcm (63)

[2]
This record from Alexandria via LeMat-Bulk describes a relaxed structure of Al2NiH2. The functional is PBE-GGA.

a b c (Å): 5.7356 5.7356 2.9863
angles (deg): 90.00 90.00 90.00
Last column: nearest neighbours and their distance in Å.
Fractional coordinates of all 10 atoms:
Ni (0.0000, 0.0000, 0.0000)  4 H 2.05
Ni (0.5000, 0.5000, 0.0000)  4 H 2.05
Al (0.1606, 0.6606, 0.5000)  2 H 1.79
Al (0.6606, 0.8394, 0.5000)  2 H 1.79
Al (0.8394, 0.3394, 0.5000)  2 H 1.79
Al (0.3394, 0.1606, 0.5000)  2 H 1.79
H (0.2829, 0.7829, 0.0000)  2 Al 1.79
H (0.7829, 0.7171, 0.0000)  2 Al 1.79
H (0.7171, 0.2171, 0.0000)  2 Al 1.79
H (0.2171, 0.2829, 0.0000)  2 Al 1.79

Results
**Magnetization**: 0.00 μB/cell
**V**: 98.24 Å³/cell
**Final energy**: -3.91 eV/atom
**Space group**: P4/mbm (127)

[3]
This record from Alexandria via LeMat-Bulk describes a relaxed structure of AlNi3H. The functional is PBE-GGA.

a b c (Å): 3.4182 3.4182 5.7581
angles (deg): 90.00 90.00 90.00
Last column: nearest neighbours and their distance in Å.
Fractional coordinates of all 5 atoms:
Ni (0.0000, 0.0000, 0.7478)  1 Al 2.29, 4 Ni 2.42
Ni (0.5000, 0.0000, 0.4496)  2 H 1.71
Ni (0.0000, 0.5000, 0.4496)  2 H 1.71
Al (0.0000, 0.0000, 0.1460)  5 Ni 2.29-2.44
H (0.5000, 0.5000, 0.4708)  4 Ni 1.71

Results
**Magnetization**: 0.00 μB/cell
**V**: 67.28 Å³/cell
**Final energy**: -4.64 eV/atom
**Space group**: P4mm (99)

[4]
This record from Alexandria via LeMat-Bulk describes a relaxed structure of AlNi3H. The functional is PBE-GGA.

a b c (Å): 3.7731 5.0105 5.0130
angles (deg): 90.00 90.01 90.00
Last column: nearest neighbours and their distance in Å.
Fractional coordinates of all 10 atoms:
H (0.0898, 0.2721, 0.4458)  4 Ni 1.79, 2 Al 1.89
H (0.0892, 0.2720, 0.9455)  6 Ni 1.80-1.89
Al (0.5899, 0.2718, 0.4454)  2 H 1.89
Al (0.5900, 0.7719, 0.9454)  12 Ni 2.50-2.58
Ni (0.5900, 0.2717, 0.9456)  2 H 1.88-1.89
Ni (0.0901, 0.0165, 0.6938)  2 H 1.79-1.80
Ni (0.0901, 0.5276, 0.1973)  2 H 1.79-1.80
Ni (0.0900, 0.0164, 0.1973)  2 H 1.79-1.80
Ni (0.5901, 0.7717, 0.4456)  4 Al 2.50-2.51, 8 Ni 2.57
Ni (0.0900, 0.5276, 0.6939)  2 H 1.79-1.80

Results
**Magnetization**: 0.00 μB/cell
**V**: 94.77 Å³/cell
**Final energy**: -5.23 eV/atom
**Space group**: Pmmm (47)

[5]
This record from Alexandria via LeMat-Bulk describes a relaxed structure of AlNi2H. The functional is PBE-GGA.

a b c (Å): 2.6963 2.6963 6.1964
angles (deg): 77.43 77.43 60.00
Last column: nearest neighbours and their distance in Å.
Fractional coordinates of all 4 atoms:
Ni (0.2745, 0.2745, 0.1766)  3 H 1.88
Ni (0.7255, 0.7255, 0.8234)  3 H 1.88
Al (0.5000, 0.5000, 0.5000)  6 Ni 2.49, 6 Al 2.70
H (0.0000, 0.0000, 0.0000)  6 Ni 1.88

Results
**Magnetization**: 0.00 μB/cell
**V**: 37.76 Å³/cell
**Final energy**: -4.92 eV/atom
**Space group**: R-3m (166)

[6]
This record from Alexandria via LeMat-Bulk describes a relaxed structure of AlNi3H. The functional is PBE-GGA.

a b c (Å): 4.1923 4.1923 4.1923
angles (deg): 110.94 110.94 110.94
Last column: nearest neighbours and their distance in Å.
Fractional coordinates of all 5 atoms:
Ni (0.7385, 0.1379, 0.7385)  1 H 1.59
Ni (0.1379, 0.7385, 0.7385)  1 H 1.59
Ni (0.7385, 0.7385, 0.1379)  1 H 1.59
Al (0.3739, 0.3739, 0.3739)  2 H 1.89-1.99
H (0.8861, 0.8861, 0.8861)  3 Ni 1.59

Results
**Magnetization**: 0.00 μB/cell
**V**: 53.41 Å³/cell
**Final energy**: -4.85 eV/atom
**Space group**: R3m (160)

[7]
This record from Alexandria via LeMat-Bulk describes a relaxed structure of Al3NiH. The functional is PBE-GGA.

a b c (Å): 4.4635 4.4635 4.4635
angles (deg): 90.00 90.00 90.00
Last column: nearest neighbours and their distance in Å.
Fractional coordinates of all 5 atoms:
Ni (0.0000, 0.0000, 0.0000)  6 Al 2.23
Al (0.0000, 0.5000, 0.0000)  2 Ni 2.23
Al (0.0000, 0.0000, 0.5000)  2 Ni 2.23
Al (0.5000, 0.0000, 0.0000)  2 Ni 2.23
H (0.5000, 0.5000, 0.5000)  12 Al 3.16

Results
**Magnetization**: 0.00 μB/cell
**V**: 88.93 Å³/cell
**Final energy**: -3.85 eV/atom
**Space group**: Pm-3m (221)

[8]
This record from Alexandria via LeMat-Bulk describes a relaxed structure of AlNi3H. The functional is PBE-GGA.

a b c (Å): 4.4675 5.0953 5.1096
angles (deg): 60.09 73.63 90.00
Last column: nearest neighbours and their distance in Å.
Fractional coordinates of all 10 atoms:
H (0.6587, 0.5980, 0.9048)  3 Ni 1.64-1.78
H (0.1853, 0.8402, 0.4204)  6 Ni 1.77-1.86
Al (0.9803, 0.4689, 0.1629)  1 H 2.11
Al (0.4267, 0.2040, 0.6928)  11 Ni 2.43-2.58
Ni (0.9388, 0.4624, 0.6659)  2 H 1.82-1.87
Ni (0.4626, 0.2111, 0.1797)  2 H 1.78-1.86
Ni (0.9540, 0.9693, 0.1620)  1 H 1.77
Ni (0.4626, 0.7098, 0.1797)  2 H 1.78-1.86
Ni (0.4382, 0.7143, 0.6720)  2 H 1.64-1.83
Ni (0.9388, 0.9723, 0.6659)  2 H 1.82-1.87

Results
**Magnetization**: 0.00 μB/cell
**V**: 95.34 Å³/cell
**Final energy**: -5.23 eV/atom
**Space group**: Cm (8)

- Which of these has the highest final energy?
  Al3NiH

- Which value of V does entry 1 give?
  175.30 Å³/cell